1.
Material: Y2ScTl2
Method: DFT, PBE
State: relaxed

Values from the calculation:
Polymorph energy (0 for the lowest one) = 0.19 eV per formula unit
D(E_F) = 4.215 states/eV/f.u.
Final energy = -25.39 eV per formula unit

CIF file:
```
data_Y2ScTl2
_cell_length_a 4.580
_cell_length_b 6.652
_cell_length_c 9.215
_cell_angle_alpha 90.00
_cell_angle_beta 90.00
_cell_angle_gamma 90.00
_space_group_name_H-M_alt 'I m m m'
_space_group_IT_number 71
_space_group_name_Hall '-I 2 2'
loop_
_atom_site_label
_atom_site_type_symbol
_atom_site_fract_x
_atom_site_fract_y
_atom_site_fract_z
_atom_site_occupancy
Y1 Y 0.000 0.000 0.198 1
Sc1 Sc 0.000 0.500 0.000 1
Tl1 Tl 0.000 0.272 0.500 1
```

---

2.
Material: YScTl
Method: DFT, PBE
State: relaxed

Values from the calculation:
Polymorph energy (0 for the lowest one) = 2.27 eV per formula unit
D(E_F) = 3.930 states/eV/f.u.
Final energy = -13.75 eV per formula unit

CIF file:
```
data_YScTl
_cell_length_a 7.216
_cell_length_b 7.216
_cell_length_c 7.216
_cell_angle_alpha 90.00
_cell_angle_beta 90.00
_cell_angle_gamma 90.00
_space_group_name_H-M_alt 'F -4 3 m'
_space_group_IT_number 216
_space_group_name_Hall 'F -4 2 3'
loop_
_atom_site_label
_atom_site_type_symbol
_atom_site_fract_x
_atom_site_fract_y
_atom_site_fract_z
_atom_site_occupancy
Y1 Y 0.000 0.000 0.000 1
Sc1 Sc 0.250 0.250 0.250 1
Tl1 Tl 0.250 0.250 0.750 1
```

---

3.
Material: Y2ScTl4
Method: DFT, PBE
State: relaxed

Values from the calculation:
D(E_F) = 5.218 states/eV/f.u.
Final energy = -30.29 eV per formula unit

CIF file:
```
data_Y2ScTl4
_cell_length_a 5.196
_cell_length_b 5.196
_cell_length_c 14.562
_cell_angle_alpha 90.00
_cell_angle_beta 90.00
_cell_angle_gamma 90.00
_space_group_name_H-M_alt 'I 4/m m m'
_space_group_IT_number 139
_space_group_name_Hall '-I 4 2'
loop_
_atom_site_label
_atom_site_type_symbol
_atom_site_fract_x
_atom_site_fract_y
_atom_site_fract_z
_atom_site_occupancy
Y1 Y 0.000 0.000 0.248 1
Sc1 Sc 0.000 0.000 0.000 1
Tl1 Tl 0.000 0.500 0.110 1
```